This record from Alexandria describes a geometry-optimized AgHPt structure. The functional is PBE.

Lattice parameters (Å, degrees): 9.7360 3.5021 4.5671 90.00 107.00 90.00
With the nearest neighbours (Å) after each atom.
Space group C2/m (No. 12)
Symmetry-distinct sites (fractional):
Ag (0.0000, 0.0000, 0.0000) (multiplicity 2)  2 H 2.39
Ag (0.0000, 0.5000, 0.5000) (multiplicity 2)  2 H 2.46
H (0.2363, 0.0000, 0.3520) (multiplicity 4)  3 Pt 1.85
Pt (0.2488, 0.5000, 0.2347) (multiplicity 4)  3 H 1.85

Summary:
DFT total energy (eV per atom): -4.070
Polymorph energy (0 for the lowest one) (meV per atom): 14